Pa2Ga9Ge | PBE-GGA | relaxed

Cell lengths 4.2712, 4.2712, 12.8633 Å; angles 90.00, 90.00, 90.00 degrees
Last column: nearest neighbours and their distance in Å.
Space group P4/mmm (No. 123)
Asymmetric unit:
Pa  0.0000  0.0000  0.1664  12 Ga 3.02-3.08
Ga  0.0000  0.5000  0.0000  8 Ga 2.97-3.02, 4 Pa 3.02
Ga  0.0000  0.5000  0.3384  2 Ge 2.98, 8 Ga 2.98-3.13, 2 Pa 3.08
Ga  0.5000  0.5000  0.1604  8 Ga 2.97-3.13, 4 Pa 3.02
Ga  0.5000  0.5000  0.5000  8 Ga 2.98, 4 Ge 3.02
Ge  0.0000  0.0000  0.5000  12 Ga 2.98-3.02

Properties
- M_tot (μB per cell) = 0.000
- DFT formation energy (meV/atom) = -188.9
- calculated volume (Å³/cell) = 234.7
- D(E_F) (states/eV per cell) = 8.2

---

BaLiIn3 | PBE-GGA | relaxed

Cell lengths 5.2558, 5.2558, 5.2558 Å; angles 90.00, 90.00, 90.00 degrees
Last column: nearest neighbours and their distance in Å.
Space group Pm-3m (No. 221)
Asymmetric unit:
Ba  0.0000  0.0000  0.0000  12 In 3.72
Li  0.5000  0.5000  0.5000  6 In 2.63
In  0.0000  0.5000  0.5000  2 Li 2.63

Properties
- M_tot (μB per cell) = 0.000
- DFT formation energy (meV/atom) = -218.0
- calculated volume (Å³/cell) = 145.2
- D(E_F) (states/eV per cell) = 3.3

---

Please write out number 2 again, unchanged.
BaLiIn3 | PBE-GGA | relaxed

Cell lengths 5.2558, 5.2558, 5.2558 Å; angles 90.00, 90.00, 90.00 degrees
Last column: nearest neighbours and their distance in Å.
Space group Pm-3m (No. 221)
Asymmetric unit:
Ba  0.0000  0.0000  0.0000  12 In 3.72
Li  0.5000  0.5000  0.5000  6 In 2.63
In  0.0000  0.5000  0.5000  2 Li 2.63

Properties
- M_tot (μB per cell) = 0.000
- DFT formation energy (meV/atom) = -218.0
- calculated volume (Å³/cell) = 145.2
- D(E_F) (states/eV per cell) = 3.3